Compound: PaCrGe2O8
Source: Alexandria via LeMat-Bulk
Functional: GGA+U
Structure: optimized geometry

Lattice parameters (Å, degrees): 6.8065 6.8065 6.4964 90.00 90.00 90.00
With the nearest neighbours (Å) after each atom.
Space group I-4m2 (No. 119)
Inequivalent atoms, fractional coordinates:
Pa1 0.0000 0.0000 0.0000 (multiplicity 2)  8 O 2.18-2.40
Cr1 0.0000 0.5000 0.2500 (multiplicity 2)  4 O 2.13
Ge1 0.0000 0.0000 0.5000 (multiplicity 2)  4 O 1.80
Ge2 0.0000 0.5000 0.7500 (multiplicity 2)  4 O 1.75
O1 0.0000 0.1921 0.3106 (multiplicity 8)  1 Ge 1.80
O2 0.0000 0.3146 0.9367 (multiplicity 8)  1 Ge 1.75

Properties
- theoretical density (g/cm3) = 6.14
- energy (eV per cell) = -182.17